# 1
{
  "formula": "Y2Ho2Ga4Au",
  "functional": "PBE-GGA",
  "state": "relaxed",
  "total_energy_ev_per_atom": -4.52,
  "sg": "I4/mmm (139)",
  "lattice_angstrom": [[-3.517, 3.517, 4.414], [3.517, -3.517, 4.414], [3.517, 3.517, -4.414]],
  "species": ["Y", "Y", "Ho", "Ho", "Ga", "Ga", "Ga", "Ga", "Au"],
  "fractional_positions": [[0.250, 0.750, 0.500], [0.750, 0.250, 0.500], [0.186, 0.186, 0.000], [0.814, 0.814, 0.000], [0.246, 0.246, 0.492], [0.246, 0.754, 0.000], [0.754, 0.246, 0.000], [0.754, 0.754, 0.508], [0.500, 0.500, 0.000]]
}



# 2
{
  "formula": "YHoGaAu",
  "functional": "PBE-GGA",
  "state": "relaxed",
  "polymorph_energy_mev_per_atom": 0.0,
  "sg": "Amm2 (38)",
  "lattice_angstrom": [[4.530, 0.000, 0.000], [0.000, 3.792, 0.000], [0.000, 0.000, 11.119]],
  "species": ["Y", "Y", "Ho", "Ho", "Ga", "Ga", "Au", "Au"],
  "fractional_positions": [[0.000, 0.000, 0.000], [0.000, 0.500, 0.500], [0.500, 0.000, 0.288], [0.500, 0.500, 0.788], [0.000, 0.000, 0.727], [0.000, 0.500, 0.227], [0.500, 0.000, 0.566], [0.500, 0.500, 0.066]]
}



# 3
{
  "formula": "YHoGaAu",
  "functional": "PBE-GGA",
  "state": "relaxed",
  "polymorph_energy_mev_per_atom": 25.1,
  "sg": "F-43m (216)",
  "lattice_angstrom": [[7.203, 0.000, 0.000], [0.000, 7.203, 0.000], [0.000, 0.000, 7.203]],
  "species": ["Y", "Y", "Y", "Y", "Ho", "Ho", "Ho", "Ho", "Ga", "Ga", "Ga", "Ga", "Au", "Au", "Au", "Au"],
  "fractional_positions": [[0.000, 0.000, 0.000], [0.000, 0.500, 0.500], [0.500, 0.000, 0.500], [0.500, 0.500, 0.000], [0.000, 0.000, 0.500], [0.000, 0.500, 0.000], [0.500, 0.000, 0.000], [0.500, 0.500, 0.500], [0.250, 0.250, 0.750], [0.250, 0.750, 0.250], [0.750, 0.250, 0.250], [0.750, 0.750, 0.750], [0.250, 0.250, 0.250], [0.250, 0.750, 0.750], [0.750, 0.250, 0.750], [0.750, 0.750, 0.250]]
}



# 4
{
  "formula": "HoZnGa2Au2",
  "functional": "PBE-GGA",
  "state": "relaxed",
  "total_energy_ev_per_atom": -3.55,
  "sg": "P-3m1 (164)",
  "lattice_angstrom": [[4.489, 0.000, 0.000], [-2.244, 3.887, 0.000], [0.000, 0.000, 6.502]],
  "species": ["Ho", "Zn", "Ga", "Ga", "Au", "Au"],
  "fractional_positions": [[0.000, 0.000, 0.000], [0.000, 0.000, 0.500], [0.333, 0.667, 0.735], [0.667, 0.333, 0.265], [0.333, 0.667, 0.279], [0.667, 0.333, 0.721]]
}



# 5
{
  "formula": "HoZn2GaAu5",
  "functional": "PBE-GGA",
  "state": "relaxed",
  "total_energy_ev_per_atom": -3.13,
  "sg": "Immm (71)",
  "lattice_angstrom": [[-2.392, 2.853, 6.955], [2.392, -2.853, 6.955], [2.392, 2.853, -6.955]],
  "species": ["Ho", "Zn", "Zn", "Ga", "Au", "Au", "Au", "Au", "Au"],
  "fractional_positions": [[0.000, 0.000, 0.000], [0.313, 0.813, 0.500], [0.687, 0.187, 0.500], [0.500, 0.500, 0.000], [0.086, 0.346, 0.740], [0.394, 0.654, 0.740], [0.500, 0.000, 0.500], [0.606, 0.346, 0.260], [0.914, 0.654, 0.260]]
}



# 6
{
  "formula": "HoZn2Ga2Au2",
  "functional": "PBE-GGA",
  "state": "relaxed",
  "total_energy_ev_per_atom": -3.23,
  "sg": "R-3m (166)",
  "lattice_angstrom": [[2.248, 1.298, 7.580], [-2.248, 1.298, 7.580], [0.000, -2.596, 7.580]],
  "species": ["Ho", "Zn", "Zn", "Ga", "Ga", "Au", "Au"],
  "fractional_positions": [[0.000, 0.000, 0.000], [0.135, 0.135, 0.135], [0.865, 0.865, 0.865], [0.401, 0.401, 0.401], [0.599, 0.599, 0.599], [0.251, 0.251, 0.251], [0.749, 0.749, 0.749]]
}



# 7
{
  "formula": "HoZnGaAu2",
  "functional": "PBE-GGA",
  "state": "relaxed",
  "total_energy_ev_per_atom": -3.56,
  "sg": "Cmme (67)",
  "lattice_angstrom": [[2.739, -6.761, 0.000], [2.739, 6.761, 0.000], [0.000, 0.000, 5.527]],
  "species": ["Ho", "Ho", "Zn", "Zn", "Ga", "Ga", "Au", "Au", "Au", "Au"],
  "fractional_positions": [[0.250, 0.750, 0.769], [0.750, 0.250, 0.231], [0.250, 0.250, 0.500], [0.750, 0.750, 0.500], [0.000, 0.000, 0.000], [0.500, 0.500, 0.000], [0.148, 0.852, 0.288], [0.352, 0.648, 0.288], [0.648, 0.352, 0.712], [0.852, 0.148, 0.712]]
}



# 8
{
  "formula": "HoZn2GaAu2",
  "functional": "PBE-GGA",
  "state": "relaxed",
  "total_energy_ev_per_atom": -3.23,
  "sg": "P-3m1 (164)",
  "lattice_angstrom": [[4.610, 0.000, 0.000], [-2.305, 3.993, 0.000], [0.000, 0.000, 6.126]],
  "species": ["Ho", "Zn", "Zn", "Ga", "Au", "Au"],
  "fractional_positions": [[0.000, 0.000, 0.000], [0.333, 0.667, 0.725], [0.667, 0.333, 0.275], [0.000, 0.000, 0.500], [0.333, 0.667, 0.250], [0.667, 0.333, 0.750]]
}



# 9
{
  "formula": "Ho2ZnGa4Au3",
  "functional": "PBE-GGA",
  "state": "relaxed",
  "total_energy_ev_per_atom": -3.79,
  "sg": "P-4m2 (115)",
  "lattice_angstrom": [[4.189, 0.000, 0.000], [0.000, 4.189, 0.000], [0.000, 0.000, 11.146]],
  "species": ["Ho", "Ho", "Zn", "Ga", "Ga", "Ga", "Ga", "Au", "Au", "Au"],
  "fractional_positions": [[0.000, 0.500, 0.242], [0.500, 0.000, 0.758], [0.500, 0.500, 0.000], [0.000, 0.000, 0.500], [0.000, 0.500, 0.864], [0.500, 0.000, 0.136], [0.500, 0.500, 0.500], [0.000, 0.000, 0.000], [0.000, 0.500, 0.641], [0.500, 0.000, 0.359]]
}



# 10
{
  "formula": "Ho2ZnGa3Au4",
  "functional": "PBE-GGA",
  "state": "relaxed",
  "total_energy_ev_per_atom": -3.82,
  "sg": "P-4m2 (115)",
  "lattice_angstrom": [[4.312, 0.000, 0.000], [0.000, 4.312, 0.000], [0.000, 0.000, 10.729]],
  "species": ["Ho", "Ho", "Zn", "Ga", "Ga", "Ga", "Au", "Au", "Au", "Au"],
  "fractional_positions": [[0.000, 0.500, 0.249], [0.500, 0.000, 0.751], [0.500, 0.500, 0.000], [0.000, 0.000, 0.000], [0.000, 0.500, 0.635], [0.500, 0.000, 0.365], [0.000, 0.000, 0.500], [0.000, 0.500, 0.864], [0.500, 0.000, 0.136], [0.500, 0.500, 0.500]]
}



# 11
{
  "formula": "HoZnGaAu",
  "functional": "PBE-GGA",
  "state": "relaxed",
  "total_energy_ev_per_atom": -3.54,
  "sg": "F-43m (216)",
  "lattice_angstrom": [[6.764, 0.000, 0.000], [0.000, 6.764, 0.000], [0.000, 0.000, 6.764]],
  "species": ["Ho", "Ho", "Ho", "Ho", "Zn", "Zn", "Zn", "Zn", "Ga", "Ga", "Ga", "Ga", "Au", "Au", "Au", "Au"],
  "fractional_positions": [[0.000, 0.000, 0.000], [0.000, 0.500, 0.500], [0.500, 0.000, 0.500], [0.500, 0.500, 0.000], [0.250, 0.250, 0.250], [0.250, 0.750, 0.750], [0.750, 0.250, 0.750], [0.750, 0.750, 0.250], [0.000, 0.000, 0.500], [0.000, 0.500, 0.000], [0.500, 0.000, 0.000], [0.500, 0.500, 0.500], [0.250, 0.250, 0.750], [0.250, 0.750, 0.250], [0.750, 0.250, 0.250], [0.750, 0.750, 0.750]]
}



# 12
{
  "formula": "HoZrGaAu",
  "functional": "PBE-GGA",
  "state": "relaxed",
  "total_energy_ev_per_atom": -5.38,
  "sg": "F-43m (216)",
  "lattice_angstrom": [[6.998, 0.000, 0.000], [0.000, 6.998, 0.000], [0.000, 0.000, 6.998]],
  "species": ["Ho", "Ho", "Ho", "Ho", "Zr", "Zr", "Zr", "Zr", "Ga", "Ga", "Ga", "Ga", "Au", "Au", "Au", "Au"],
  "fractional_positions": [[0.000, 0.000, 0.000], [0.000, 0.500, 0.500], [0.500, 0.000, 0.500], [0.500, 0.500, 0.000], [0.000, 0.000, 0.500], [0.000, 0.500, 0.000], [0.500, 0.000, 0.000], [0.500, 0.500, 0.500], [0.250, 0.250, 0.250], [0.250, 0.750, 0.750], [0.750, 0.250, 0.750], [0.750, 0.750, 0.250], [0.250, 0.250, 0.750], [0.250, 0.750, 0.250], [0.750, 0.250, 0.250], [0.750, 0.750, 0.750]]
}



# 13
{
  "formula": "GaAuI4",
  "functional": "PBE-GGA",
  "state": "relaxed",
  "formation_energy_uncorrected_ev_per_atom": -0.33,
  "polymorph_energy_mev_per_atom": 5.8,
  "sg": "C2/c (15)",
  "lattice_angstrom": [[4.835, -5.964, 0.000], [4.835, 5.964, 0.000], [-0.312, 0.000, 10.469]],
  "species": ["Ga", "Ga", "Au", "Au", "I", "I", "I", "I", "I", "I", "I", "I"],
  "fractional_positions": [[0.118, 0.882, 0.750], [0.882, 0.118, 0.250], [0.000, 0.500, 0.000], [0.500, 0.000, 0.500], [0.216, 0.237, 0.251], [0.237, 0.216, 0.751], [0.244, 0.732, 0.547], [0.268, 0.756, 0.953], [0.732, 0.244, 0.047], [0.756, 0.268, 0.453], [0.763, 0.784, 0.249], [0.784, 0.763, 0.749]]
}



# 14
{
  "formula": "GaAuI3",
  "functional": "PBE-GGA",
  "state": "relaxed",
  "formation_energy_uncorrected_ev_per_atom": -0.03,
  "polymorph_energy_mev_per_atom": 182.6,
  "sg": "Pm-3m (221)",
  "lattice_angstrom": [[5.709, 0.000, 0.000], [0.000, 5.709, 0.000], [0.000, 0.000, 5.709]],
  "species": ["Ga", "Au", "I", "I", "I"],
  "fractional_positions": [[0.000, 0.000, 0.000], [0.500, 0.500, 0.500], [0.000, 0.500, 0.500], [0.500, 0.000, 0.500], [0.500, 0.500, 0.000]]
}



# 15
{
  "formula": "GaAu2I8",
  "functional": "PBE-GGA",
  "state": "relaxed",
  "formation_energy_uncorrected_ev_per_atom": -0.08,
  "polymorph_energy_mev_per_atom": 48.7,
  "sg": "C2/m (12)",
  "lattice_angstrom": [[6.277, -5.839, 0.000], [6.277, 5.839, 0.000], [-2.222, 0.000, 7.020]],
  "species": ["Ga", "Au", "Au", "I", "I", "I", "I", "I", "I", "I", "I"],
  "fractional_positions": [[0.000, 0.000, 0.000], [0.166, 0.166, 0.620], [0.834, 0.834, 0.380], [0.081, 0.751, 0.185], [0.224, 0.224, 0.307], [0.249, 0.919, 0.815], [0.409, 0.409, 0.833], [0.591, 0.591, 0.167], [0.751, 0.081, 0.185], [0.776, 0.776, 0.693], [0.919, 0.249, 0.815]]
}



# 16
{
  "formula": "Ga3AuI",
  "functional": "PBE-GGA",
  "state": "relaxed",
  "formation_energy_uncorrected_ev_per_atom": -0.12,
  "polymorph_energy_mev_per_atom": 0.0,
  "sg": "Pm-3m (221)",
  "lattice_angstrom": [[5.152, 0.000, 0.000], [0.000, 5.152, 0.000], [0.000, 0.000, 5.152]],
  "species": ["Ga", "Ga", "Ga", "Au", "I"],
  "fractional_positions": [[0.000, 0.000, 0.500], [0.000, 0.500, 0.000], [0.500, 0.000, 0.000], [0.000, 0.000, 0.000], [0.500, 0.500, 0.500]]
}



# 17
{
  "formula": "Ga2AuI",
  "functional": "PBE-GGA",
  "state": "relaxed",
  "formation_energy_uncorrected_ev_per_atom": -0.10,
  "polymorph_energy_mev_per_atom": 73.4,
  "sg": "I-42d (122)",
  "lattice_angstrom": [[6.504, 0.000, 0.000], [0.000, 6.504, 0.000], [0.000, 0.000, 12.872]],
  "species": ["Ga", "Ga", "Ga", "Ga", "Ga", "Ga", "Ga", "Ga", "Au", "Au", "Au", "Au", "I", "I", "I", "I"],
  "fractional_positions": [[0.172, 0.250, 0.125], [0.250, 0.672, 0.375], [0.250, 0.828, 0.875], [0.328, 0.250, 0.625], [0.672, 0.750, 0.625], [0.750, 0.172, 0.875], [0.750, 0.328, 0.375], [0.828, 0.750, 0.125], [0.000, 0.000, 0.000], [0.000, 0.500, 0.250], [0.500, 0.000, 0.750], [0.500, 0.500, 0.500], [0.000, 0.000, 0.500], [0.000, 0.500, 0.750], [0.500, 0.000, 0.250], [0.500, 0.500, 0.000]]
}



# 18
{
  "formula": "Ga2AuI",
  "functional": "PBE-GGA",
  "state": "relaxed",
  "formation_energy_uncorrected_ev_per_atom": -0.18,
  "polymorph_energy_mev_per_atom": 0.0,
  "sg": "R-3m (166)",
  "lattice_angstrom": [[4.047, 0.000, 0.000], [-2.023, 3.505, 0.000], [0.000, 0.000, 21.347]],
  "species": ["Ga", "Ga", "Ga", "Ga", "Ga", "Ga", "Au", "Au", "Au", "I", "I", "I"],
  "fractional_positions": [[0.000, 0.000, 0.230], [0.000, 0.000, 0.770], [0.333, 0.667, 0.436], [0.333, 0.667, 0.897], [0.667, 0.333, 0.103], [0.667, 0.333, 0.564], [0.000, 0.000, 0.500], [0.333, 0.667, 0.167], [0.667, 0.333, 0.833], [0.000, 0.000, 0.000], [0.333, 0.667, 0.667], [0.667, 0.333, 0.333]]
}



# 19
{
  "formula": "Ga2AuI",
  "functional": "PBE-GGA",
  "state": "relaxed",
  "formation_energy_uncorrected_ev_per_atom": 0.10,
  "polymorph_energy_mev_per_atom": 276.8,
  "sg": "Fm-3m (225)",
  "lattice_angstrom": [[7.473, 0.000, 0.000], [0.000, 7.473, 0.000], [0.000, 0.000, 7.473]],
  "species": ["Ga", "Ga", "Ga", "Ga", "Ga", "Ga", "Ga", "Ga", "Au", "Au", "Au", "Au", "I", "I", "I", "I"],
  "fractional_positions": [[0.250, 0.250, 0.250], [0.250, 0.250, 0.750], [0.250, 0.750, 0.250], [0.250, 0.750, 0.750], [0.750, 0.250, 0.250], [0.750, 0.250, 0.750], [0.750, 0.750, 0.250], [0.750, 0.750, 0.750], [0.000, 0.000, 0.000], [0.000, 0.500, 0.500], [0.500, 0.000, 0.500], [0.500, 0.500, 0.000], [0.000, 0.000, 0.500], [0.000, 0.500, 0.000], [0.500, 0.000, 0.000], [0.500, 0.500, 0.500]]
}



# 20
{
  "formula": "GaAu2I8",
  "functional": "PBE-GGA",
  "state": "relaxed",
  "formation_energy_uncorrected_ev_per_atom": -0.13,
  "polymorph_energy_mev_per_atom": 0.0,
  "sg": "P-1 (2)",
  "lattice_angstrom": [[7.204, 0.000, 0.000], [-0.595, 8.330, 0.000], [-2.698, -1.974, 8.648]],
  "species": ["Ga", "Au", "Au", "I", "I", "I", "I", "I", "I", "I", "I"],
  "fractional_positions": [[0.000, 0.000, 0.000], [0.412, 0.745, 0.917], [0.588, 0.255, 0.083], [0.050, 0.778, 0.750], [0.214, 0.268, 0.925], [0.331, 0.909, 0.185], [0.455, 0.551, 0.653], [0.545, 0.449, 0.347], [0.669, 0.091, 0.815], [0.786, 0.732, 0.075], [0.950, 0.222, 0.250]]
}



Respective M_tot values: 0.00; 0.00; 0.00; 0.00; 0.00; 0.00; 0.00; 0.00; 0.00; 0.00; 0.00; 4.03; 0.00; 0.00; 0.00; 0.00; 0.00; 0.00; 0.00; 0.00 μB per cell.
Respective N(E_F) values: 7.11; 3.40; 2.47; 2.86; 4.26; 3.47; 1.94; 2.86; 5.18; 5.62; 2.02; 2.20; 0.00; 1.11; 11.42; 1.29; 0.29; 1.10; 0.24; 5.27 states/eV/f.u..